Computed, not measured: crystalline Pm2NiSn6 at its relaxed geometry at the PBE level of DFT.

Unit cell a=7.588 b=15.294 c=4.234 alpha=90.00 beta=90.00 gamma=90.00
Space group Cmmm (No. 65)
Asymmetric unit:
Pm: 0.000 0.189 0.000 (multiplicity 4)
Ni: 0.000 0.500 0.500 (multiplicity 2)
Sn: 0.190 0.350 0.500 (multiplicity 8)
Sn: 0.222 0.500 0.000 (multiplicity 4)

ΔE_f: -0.35 eV per atom
Energy relative to the lowest polymorph listed for this composition: 1.38 eV/f.u.
Mass density: 7.17 g/cm³
DOS at the Fermi energy: 5.86 states/eV/f.u.
E: -84.8 eV for the cell shown
Total moment: 0.00 μB per cell
Crystal system: orthorhombic